A plane-wave DFT calculation with GGA-PBE was carried out for an optimized crystal structure of Ac2Al3Ge2.

Geometry as CIF:
```
data_Ac2Al3Ge2
_chemical_formula_sum 'Ac4 Al6 Ge4'
_space_group_name_H-M_alt 'C 1 2/m 1'
_space_group_IT_number 12
_cell_length_a 12.111
_cell_length_b 4.257
_cell_length_c 6.916
_cell_angle_alpha 90.00
_cell_angle_beta 96.91
_cell_angle_gamma 90.00
loop_
_space_group_symop_operation_xyz
'x,y,z'
'-x,-y,-z'
'-x,y,-z'
'x,-y,z'
'x+1/2,y+1/2,z'
'-x+1/2,-y+1/2,-z'
'-x+1/2,y+1/2,-z'
'x+1/2,-y+1/2,z'
loop_
_atom_site_label
_atom_site_fract_x
_atom_site_fract_y
_atom_site_fract_z
Ac1 0.156 0.000 0.236
Al1 0.000 0.500 0.500
Al2 0.068 0.500 0.872
Ge1 0.136 0.000 0.716
```

## Properties
* energy above the lowest structure with this stoichiometry: 0.00 kcal/mol of atoms
* N(E_F): 1.88 states/eV/f.u.